# NdNiI2 | Alexandria via LeMat-Bulk | PBE | optimized geometry
data_NdNiI2
_chemical_formula_sum 'Nd3 Ni3 I6'
_cell_length_a 3.9596
_cell_length_b 3.9596
_cell_length_c 27.7797
_cell_angle_alpha 90.00
_cell_angle_beta 90.00
_cell_angle_gamma 120.00
_symmetry_space_group_name_H-M 'R -3 m'
_symmetry_Int_Tables_number 166
_symmetry_space_group_name_Hall '-R 3 2"'
loop_
_atom_site_label
_atom_site_type_symbol
_atom_site_fract_x
_atom_site_fract_y
_atom_site_fract_z
_atom_site_occupancy
Nd1 Nd 0.0000 0.0000 0.0000 1
Ni1 Ni 0.0000 0.0000 0.5000 1
I1 I 0.0000 0.0000 0.1121 1
# Total moment = 0.18 μB/atom
# Formation energy from raw total energies = -0.0872 eV/atom
# DOS(E_F) = 1.08 states/eV per atom

---

# TcAs2Se | Alexandria via LeMat-Bulk | PBE | optimized geometry
data_TcAs2Se
_chemical_formula_sum 'Tc1 As2 Se1'
_cell_length_a 3.026
_cell_length_b 3.026
_cell_length_c 8.344
_cell_angle_alpha 90.00
_cell_angle_beta 90.00
_cell_angle_gamma 90.00
_symmetry_space_group_name_H-M 'P 4/m m m'
_symmetry_Int_Tables_number 123
_symmetry_space_group_name_Hall '-P 4 2'
loop_
_atom_site_label
_atom_site_type_symbol
_atom_site_fract_x
_atom_site_fract_y
_atom_site_fract_z
_atom_site_occupancy
Tc1 Tc 0.000 0.000 0.000 1
As1 As 0.500 0.500 0.181 1
Se1 Se 0.000 0.000 0.500 1
# Energy above the lowest structure with this stoichiometry = 74 meV per atom
# Total moment = 0.00 μB/atom
# Formation energy from raw total energies = 0.0431 eV/atom
# DOS(E_F) = 0.59 states/eV per atom

---

# AcSm2Ho | Alexandria via LeMat-Bulk | PBE | optimized geometry
data_AcSm2Ho
_chemical_formula_sum 'Ac1 Sm2 Ho1'
_cell_length_a 3.716
_cell_length_b 3.716
_cell_length_c 10.345
_cell_angle_alpha 90.00
_cell_angle_beta 90.00
_cell_angle_gamma 90.00
_symmetry_space_group_name_H-M 'P 4/m m m'
_symmetry_Int_Tables_number 123
_symmetry_space_group_name_Hall '-P 4 2'
loop_
_atom_site_label
_atom_site_type_symbol
_atom_site_fract_x
_atom_site_fract_y
_atom_site_fract_z
_atom_site_occupancy
Ac1 Ac 0.000 0.000 0.000 1
Sm1 Sm 0.500 0.500 0.265 1
Ho1 Ho 0.000 0.000 0.500 1
# Energy above the lowest structure with this stoichiometry = 5 meV per atom
# Total moment = 0.00 μB/atom
# DOS(E_F) = 1.61 states/eV per atom
# ΔE_f = 0.05 eV per atom

---

# Cs3BeH4 | Alexandria via LeMat-Bulk | PBE | optimized geometry
data_Cs3BeH4
_chemical_formula_sum 'Cs6 Be2 H8'
_cell_length_a 6.118
_cell_length_b 8.764
_cell_length_c 8.614
_cell_angle_alpha 90.00
_cell_angle_beta 90.00
_cell_angle_gamma 90.00
_symmetry_space_group_name_H-M 'I m m 2'
_symmetry_Int_Tables_number 44
loop_
_symmetry_equiv_pos_as_xyz
'x,y,z'
'-x,-y,z'
'-x,y,z'
'x,-y,z'
'x+1/2,y+1/2,z+1/2'
'-x+1/2,-y+1/2,z+1/2'
'-x+1/2,y+1/2,z+1/2'
'x+1/2,-y+1/2,z+1/2'
loop_
_atom_site_label
_atom_site_type_symbol
_atom_site_fract_x
_atom_site_fract_y
_atom_site_fract_z
_atom_site_occupancy
Cs1 Cs 0.000 0.000 0.000 1
Cs2 Cs 0.000 0.220 0.453 1
Be1 Be 0.000 0.500 0.159 1
H1 H 0.000 0.356 0.068 1
H2 H 0.194 0.500 0.259 1
# Total moment = 0.11 μB/atom
# DOS(E_F) = 0.21 states/eV per atom
# E_tot = -2.585 eV/atom

---

# NaHfC2 | Alexandria via LeMat-Bulk | PBE | optimized geometry
data_NaHfC2
_chemical_formula_sum 'Na4 Hf4 C8'
_cell_length_a 4.916
_cell_length_b 4.916
_cell_length_c 12.935
_cell_angle_alpha 90.00
_cell_angle_beta 90.00
_cell_angle_gamma 90.00
_symmetry_space_group_name_H-M 'I -4 2 d'
_symmetry_Int_Tables_number 122
_symmetry_space_group_name_Hall 'I -4 2bw'
loop_
_atom_site_label
_atom_site_type_symbol
_atom_site_fract_x
_atom_site_fract_y
_atom_site_fract_z
_atom_site_occupancy
Na1 Na 0.000 0.000 0.000 1
Hf1 Hf 0.000 0.000 0.500 1
C1 C 0.136 0.250 0.625 1
# Energy above the lowest structure with this stoichiometry = 0 meV per atom
# Total moment = 0.00 μB/atom
# DOS(E_F) = 0.48 states/eV per atom
# ΔE_f = 1.13 eV per atom

---

# LiNiAgAs | Alexandria via LeMat-Bulk | PBE | optimized geometry
data_LiNiAgAs
_chemical_formula_sum 'Li4 Ni4 Ag4 As4'
_cell_length_a 6.118
_cell_length_b 6.118
_cell_length_c 6.118
_cell_angle_alpha 90.00
_cell_angle_beta 90.00
_cell_angle_gamma 90.00
_symmetry_space_group_name_H-M 'F -4 3 m'
_symmetry_Int_Tables_number 216
_symmetry_space_group_name_Hall 'F -4 2 3'
loop_
_atom_site_label
_atom_site_type_symbol
_atom_site_fract_x
_atom_site_fract_y
_atom_site_fract_z
_atom_site_occupancy
Li1 Li 0.000 0.000 0.000 1
Ni1 Ni 0.000 0.000 0.500 1
Ag1 Ag 0.250 0.250 0.250 1
As1 As 0.250 0.250 0.750 1
# Total moment = 0.00 μB/atom
# DOS(E_F) = 0.64 states/eV per atom
# ΔE_f = -0.18 eV per atom